A plane-wave DFT calculation with PBE-GGA was carried out for an optimized crystal structure of Pm6AlGe2.

abc: 8.753 8.753 8.753
angles: 106.95 109.82 111.68
Atoms (fractional coordinates):
1 Pm 0.551 0.730 0.821
2 Pm 0.449 0.270 0.179
3 Pm 0.092 0.270 0.821
4 Pm 0.908 0.730 0.179
5 Pm 0.802 0.749 0.551
6 Pm 0.198 0.251 0.449
7 Pm 0.198 0.749 0.947
8 Pm 0.802 0.251 0.053
9 Pm 0.708 0.381 0.673
10 Pm 0.292 0.619 0.327
11 Pm 0.292 0.965 0.673
12 Pm 0.708 0.035 0.327
13 Al 0.000 0.500 0.500
14 Al 0.000 0.000 0.000
15 Ge 0.500 0.380 0.880
16 Ge 0.500 0.620 0.120
17 Ge 0.645 0.000 0.645
18 Ge 0.355 0.000 0.355

Output
- Magnetic moment: 0.00 μB per cell
- Formation energy from the elements: -496.8 meV per atom
- Fermi-level density of states: 14.800 states/eV per cell
- Crystal system: orthorhombic
- Excess energy over the best structure of this formula in the dataset: 0.000 eV per formula unit

***

A plane-wave DFT calculation with PBE-GGA was carried out for an optimized crystal structure of LaScPtAu2.

abc: 4.890 5.943 4.890
angles: 90.00 90.00 90.00
Atoms (fractional coordinates):
1 Sc 0.000 0.000 0.000
2 Au 0.000 0.000 0.500
3 Au 0.500 0.000 0.000
4 Pt 0.500 0.500 0.500
5 La 0.000 0.500 0.000

Output
- Magnetic moment: 0.00 μB per cell
- Formation energy from the elements: 516.9 meV per atom
- Fermi-level density of states: 3.748 states/eV per cell
- Crystal system: tetragonal

***

A plane-wave DFT calculation with PBE-GGA was carried out for an optimized crystal structure of Ac2Pr2Tm.

abc: 4.945 4.945 9.134
angles: 105.70 105.70 90.00
Atoms (fractional coordinates):
1 Ac 0.750 0.250 0.500
2 Ac 0.250 0.750 0.500
3 Pr 0.410 0.410 0.819
4 Pr 0.590 0.590 0.181
5 Tm 0.000 0.000 0.000

Output
- Magnetic moment: 0.00 μB per cell
- Formation energy from the elements: 464.4 meV per atom
- Fermi-level density of states: 8.582 states/eV per cell
- Crystal system: tetragonal
- Excess energy over the best structure of this formula in the dataset: 1.645 eV per formula unit

***

A plane-wave DFT calculation with PBE-GGA was carried out for an optimized crystal structure of Ba2AgSb.

abc: 6.825 6.825 5.019
angles: 90.00 90.00 41.35
Atoms (fractional coordinates):
1 Sb 0.450 0.450 0.625
2 Ba 0.010 0.010 0.125
3 Ba 0.738 0.738 0.625
4 Ag 0.302 0.302 0.125

Output
- ΔE_f (raw): -2.72 eV/f.u.
- Magnetic moment: 0.00 μB per cell
- Fermi-level density of states: 0.620 states/eV per cell
- Crystal system: orthorhombic

***

A plane-wave DFT calculation with PBE-GGA was carried out for an optimized crystal structure of KPIr.

abc: 6.525 6.525 3.156
angles: 76.00 76.01 27.99
Atoms (fractional coordinates):
1 Ir 0.048 0.048 0.952
2 K 0.329 0.329 0.671
3 P 0.623 0.623 0.377

Output
- Magnetic moment: 0.00 μB per cell
- Formation energy from the elements: -184.3 meV per atom
- Fermi-level density of states: 1.643 states/eV per cell
- Crystal system: tetragonal

***

A plane-wave DFT calculation with PBE-GGA was carried out for an optimized crystal structure of Sn12Sb3As5.

abc: 14.968 14.968 14.968
angles: 109.47 109.47 109.47
Atoms (fractional coordinates):
1 Sb 0.750 0.375 0.125
2 Sb 0.875 0.750 0.125
3 Sb 0.375 0.750 0.625
4 Sb 0.250 0.125 0.375
5 Sb 0.875 0.125 0.250
6 Sb 0.375 0.625 0.250
7 Sb 0.625 0.375 0.750
8 Sb 0.125 0.875 0.750
9 Sb 0.750 0.875 0.625
10 Sb 0.625 0.250 0.375
11 Sb 0.125 0.250 0.875
12 Sb 0.250 0.625 0.875
13 As 0.125 0.375 0.250
14 As 0.000 0.500 0.000
15 As 0.000 0.000 0.000
16 As 0.375 0.250 0.125
17 As 0.500 0.000 0.500
18 As 0.500 0.500 0.000
19 As 0.125 0.750 0.375
20 As 0.750 0.125 0.875
21 As 0.750 0.625 0.375
22 As 0.375 0.125 0.750
23 As 0.625 0.875 0.250
24 As 0.500 0.500 0.500
25 As 0.500 0.000 0.000
26 As 0.000 0.000 0.500
27 As 0.250 0.375 0.625
28 As 0.250 0.875 0.125
29 As 0.000 0.500 0.500
30 As 0.875 0.250 0.625
31 As 0.625 0.750 0.875
32 As 0.875 0.625 0.750
33 Sn 0.723 0.137 0.053
34 Sn 0.331 0.553 0.416
35 Sn 0.947 0.363 0.277
36 Sn 0.553 0.223 0.137
37 Sn 0.585 0.723 0.669
38 Sn 0.947 0.584 0.169
39 Sn 0.331 0.777 0.415
40 Sn 0.084 0.915 0.137
41 Sn 0.584 0.947 0.669
42 Sn 0.723 0.585 0.169
43 Sn 0.777 0.447 0.363
44 Sn 0.831 0.916 0.053
45 Sn 0.137 0.723 0.553
46 Sn 0.363 0.416 0.085
47 Sn 0.085 0.916 0.363
48 Sn 0.415 0.137 0.584
49 Sn 0.085 0.169 0.223
50 Sn 0.447 0.669 0.084
51 Sn 0.831 0.915 0.277
52 Sn 0.137 0.415 0.084
53 Sn 0.363 0.947 0.777
54 Sn 0.584 0.637 0.415
55 Sn 0.916 0.831 0.553
56 Sn 0.777 0.331 0.915
57 Sn 0.416 0.363 0.585
58 Sn 0.084 0.169 0.447
59 Sn 0.223 0.669 0.085
60 Sn 0.169 0.085 0.723
61 Sn 0.637 0.053 0.223
62 Sn 0.863 0.585 0.916
63 Sn 0.553 0.331 0.916
64 Sn 0.585 0.863 0.416
65 Sn 0.915 0.831 0.777
66 Sn 0.915 0.084 0.637
67 Sn 0.863 0.277 0.447
68 Sn 0.169 0.084 0.947
69 Sn 0.637 0.584 0.915
70 Sn 0.416 0.053 0.331
71 Sn 0.277 0.415 0.831
72 Sn 0.223 0.553 0.637
73 Sn 0.916 0.085 0.863
74 Sn 0.669 0.223 0.585
75 Sn 0.447 0.777 0.863
76 Sn 0.053 0.416 0.831
77 Sn 0.415 0.277 0.331
78 Sn 0.053 0.637 0.723
79 Sn 0.669 0.447 0.584
80 Sn 0.277 0.863 0.947

Output
- ΔE_f (raw): 2.63 eV/f.u.
- Magnetic moment: 0.00 μB per cell
- Fermi-level density of states: 28.347 states/eV per cell
- Crystal system: cubic

***

A plane-wave DFT calculation with PBE-GGA was carried out for an optimized crystal structure of Tl15In2Pb2.

abc: 8.717 8.717 8.717
angles: 78.35 78.35 78.35
Atoms (fractional coordinates):
1 Tl 0.000 0.500 0.000
2 Tl 0.000 0.000 0.500
3 Tl 0.500 0.000 0.000
4 Tl 0.300 0.000 0.700
5 Tl 0.700 0.300 0.000
6 Tl 0.000 0.700 0.300
7 Tl 0.300 0.700 0.000
8 Tl 0.000 0.300 0.700
9 Tl 0.700 0.000 0.300
10 Tl 0.370 0.851 0.370
11 Tl 0.370 0.370 0.851
12 Tl 0.851 0.370 0.370
13 Tl 0.630 0.149 0.630
14 Tl 0.630 0.630 0.149
15 Tl 0.149 0.630 0.630
16 In 0.906 0.906 0.906
17 In 0.094 0.094 0.094
18 Pb 0.714 0.714 0.714
19 Pb 0.286 0.286 0.286

Output
- Magnetic moment: 0.00 μB per cell
- Formation energy from the elements: 90.5 meV per atom
- Fermi-level density of states: 9.283 states/eV per cell
- Crystal system: trigonal

***

A plane-wave DFT calculation with PBE-GGA was carried out for an optimized crystal structure of LiLuTaOs.

abc: 4.616 4.616 4.616
angles: 60.00 60.00 60.00
Atoms (fractional coordinates):
1 Lu 0.250 0.250 0.250
2 Os 0.000 0.000 0.000
3 Li 0.500 0.500 0.500
4 Ta 0.750 0.750 0.750

Output
- Magnetic moment: 0.00 μB per cell
- Formation energy from the elements: -143.8 meV per atom
- Fermi-level density of states: 3.361 states/eV per cell
- Crystal system: cubic

***

Number 1: raw total energy -91.904 eV per cell. Number 2: raw total energy -21.270 eV per cell. Number 3: raw total energy -19.925 eV per cell. Number 4: raw total energy -13.544 eV per cell. Number 5: raw total energy -15.921 eV per cell. Number 6: raw total energy -324.076 eV per cell. Number 7: raw total energy -46.668 eV per cell. Number 8: raw total energy -30.092 eV per cell.